Below is crystalline U4PbSe8 at its relaxed geometry, with properties calculated at the GGA-PBE level.

```
U4PbSe8
1.0
8.0323 0.0042 -1.9088
-4.6516 6.5898 -1.7600
-0.2149 -0.3980 8.4043
Se U Pb
8 4 1
Direct
0.1850 0.5158 0.2191 Se
0.8150 0.4842 0.7809 Se
0.2967 0.9660 0.7809 Se
0.3084 0.4847 0.7930 Se
0.1918 0.0300 0.2217 Se
0.7033 0.0340 0.2191 Se
0.8082 0.9700 0.7783 Se
0.6916 0.5153 0.2070 Se
0.7409 0.2375 0.9784 U
0.2455 0.2455 0.0000 U
0.7545 0.7545 0.0000 U
0.2591 0.7625 0.0216 U
0.0000 0.5000 0.5000 Pb
```

Values from the calculation:
**Formation energy without anion corrections**: -1.027 eV/atom
**Symmetry**: No. 12
**E above lowest polymorph**: 0 meV per atom
**Electronic total energy**: -90.08 eV/cell

Below is crystalline UPb3Se6 at its relaxed geometry, with properties calculated at the GGA-PBE level.

```
UPb3Se6
1.0
7.2186 0.0000 0.2653
0.0000 8.0385 0.0000
0.2899 0.0000 10.5664
Pb Se U
6 12 2
Direct
0.5000 0.5000 0.0000 Pb
0.5174 0.9198 0.7904 Pb
0.4826 0.0802 0.2096 Pb
0.9826 0.4198 0.7096 Pb
0.0000 0.0000 0.5000 Pb
0.0174 0.5802 0.2904 Pb
0.3611 0.5642 0.7379 Se
0.8123 0.6726 0.5461 Se
0.1877 0.3274 0.4539 Se
0.6877 0.1726 0.9539 Se
0.6389 0.4358 0.2621 Se
0.8611 0.9358 0.2379 Se
0.1389 0.0642 0.7621 Se
0.8389 0.7207 0.9142 Se
0.6611 0.2207 0.5858 Se
0.3123 0.8274 0.0461 Se
0.1611 0.2793 0.0858 Se
0.3389 0.7793 0.4142 Se
0.5000 0.5000 0.5000 U
0.0000 0.0000 0.0000 U
```

Values from the calculation:
**Formation energy without anion corrections**: -0.672 eV/atom
**Symmetry**: No. 14
**Electronic total energy**: -100.07 eV/cell

Below is crystalline UPb2Se3 at its relaxed geometry, with properties calculated at the GGA-PBE level.

```
UPb2Se3
1.0
-2.4004 2.9338 1.0389
-0.0814 -2.0693 5.6556
6.1701 5.4467 -1.1253
Se Pb U
3 2 1
Direct
0.5000 0.1372 0.2745 Se
0.5000 0.8628 0.7255 Se
0.0000 0.5000 0.0000 Se
0.5000 0.6553 0.3105 Pb
0.5000 0.3447 0.6895 Pb
0.0000 0.0000 0.0000 U
```

Values from the calculation:
**Formation energy without anion corrections**: -0.590 eV/atom
**Symmetry**: No. 65
**Electronic total energy**: -32.70 eV/cell

Below is crystalline V5Pb3Se12 at its relaxed geometry, with properties calculated at the GGA-PBE level.

```
V5Pb3Se12
1.0
13.8652 0.0000 0.0000
-4.6217 13.0722 0.0000
-4.6217 -6.5361 11.3209
Pb Se V
12 48 20
Direct
0.2500 0.1250 0.3750 Pb
0.8750 0.1250 0.2500 Pb
0.6250 0.2500 0.3750 Pb
0.8750 0.7500 0.1250 Pb
0.2500 0.6250 0.8750 Pb
0.1250 0.2500 0.8750 Pb
0.7500 0.3750 0.1250 Pb
0.1250 0.8750 0.7500 Pb
0.3750 0.6250 0.2500 Pb
0.7500 0.8750 0.6250 Pb
0.6250 0.3750 0.7500 Pb
0.3750 0.7500 0.6250 Pb
0.5869 0.8868 0.4048 Se
0.6132 0.0180 0.2001 Se
0.5180 0.2001 0.1132 Se
0.3179 0.5180 0.4048 Se
0.4048 0.3868 0.5869 Se
0.9048 0.0869 0.8868 Se
0.8868 0.5869 0.9048 Se
0.1821 0.0869 0.7001 Se
0.4820 0.7999 0.8868 Se
0.0869 0.1821 0.2001 Se
0.0180 0.4048 0.8179 Se
0.4048 0.0180 0.3179 Se
0.1132 0.7001 0.5180 Se
0.7001 0.5869 0.1821 Se
0.9820 0.5952 0.1821 Se
0.4131 0.1132 0.5952 Se
0.0180 0.6132 0.7001 Se
0.8179 0.9131 0.2999 Se
0.2001 0.5180 0.6132 Se
0.3179 0.7999 0.4131 Se
0.0952 0.9131 0.1132 Se
0.2999 0.4131 0.8179 Se
0.4131 0.2999 0.3179 Se
0.3868 0.4048 0.0869 Se
0.1132 0.4131 0.0952 Se
0.2999 0.8868 0.9820 Se
0.9820 0.3868 0.2999 Se
0.5952 0.9820 0.6821 Se
0.2001 0.6821 0.0869 Se
0.0869 0.9048 0.3868 Se
0.5952 0.6132 0.4131 Se
0.9048 0.8179 0.5180 Se
0.6132 0.5952 0.9131 Se
0.5180 0.3179 0.9048 Se
0.9131 0.8179 0.7999 Se
0.5869 0.7001 0.6821 Se
0.4820 0.6821 0.0952 Se
0.7999 0.4820 0.3868 Se
0.0952 0.1821 0.4820 Se
0.7001 0.1132 0.0180 Se
0.1821 0.0952 0.9820 Se
0.8179 0.9048 0.0180 Se
0.8868 0.2999 0.4820 Se
0.9131 0.0952 0.6132 Se
0.6821 0.2001 0.5869 Se
0.3868 0.9820 0.7999 Se
0.7999 0.3179 0.9131 Se
0.6821 0.4820 0.5952 Se
0.1250 0.3750 0.2500 V
0.3750 0.1250 0.7500 V
0.3750 0.2500 0.1250 V
0.6250 0.7500 0.8750 V
0.5000 0.5000 0.0000 V
0.5000 0.5000 0.5000 V
0.7500 0.6250 0.3750 V
0.8750 0.2500 0.6250 V
0.1250 0.7500 0.3750 V
0.0000 0.5000 0.5000 V
0.5000 0.0000 0.0000 V
0.2500 0.8750 0.1250 V
0.7500 0.1250 0.8750 V
0.8750 0.6250 0.7500 V
0.6250 0.8750 0.2500 V
0.0000 0.0000 0.0000 V
0.0000 0.0000 0.5000 V
0.0000 0.5000 0.0000 V
0.2500 0.3750 0.6250 V
0.5000 0.0000 0.5000 V
```

Values from the calculation:
**Formation energy without anion corrections**: -0.517 eV/atom
**Symmetry**: No. 230
**Electronic total energy**: -435.51 eV/cell

Below is crystalline V3PbSe at its relaxed geometry, with properties calculated at the GGA-PBE level.

```
V3PbSe
1.0
-3.3274 1.8154 -3.5036
0.8601 -4.1391 -2.9615
-3.8511 -2.4929 2.3657
Se Pb V
1 1 3
Direct
0.5000 0.5000 0.5000 Se
0.0000 0.0000 0.0000 Pb
0.0000 0.5000 0.0000 V
0.0000 0.0000 0.5000 V
0.5000 0.0000 0.0000 V
```

Values from the calculation:
**Formation energy without anion corrections**: 1.501 eV/atom
**Symmetry**: No. 221
**E above lowest polymorph**: 953 meV per atom
**Electronic total energy**: -27.04 eV/cell

Below is crystalline V2Pb4Se at its relaxed geometry, with properties calculated at the GGA-PBE level.

```
V2Pb4Se
1.0
5.7735 0.0000 0.0000
0.0000 5.7735 0.0000
2.8867 2.8867 6.5783
Pb V Se
4 2 1
Direct
0.5000 0.0000 0.0000 Pb
0.0000 0.5000 0.0000 Pb
0.7841 0.7841 0.4318 Pb
0.2159 0.2159 0.5682 Pb
0.5707 0.5707 0.8587 V
0.4293 0.4293 0.1413 V
0.0000 0.0000 0.0000 Se
```

Values from the calculation:
**Formation energy without anion corrections**: 0.639 eV/atom
**Symmetry**: No. 139
**Electronic total energy**: -32.08 eV/cell

Below is crystalline V3PbSe at its relaxed geometry, with properties calculated at the GGA-PBE level.

```
V3PbSe
1.0
-0.4873 1.5467 4.2538
3.1733 -2.9341 1.4304
3.2276 3.1182 -0.7641
Pb V Se
1 3 1
Direct
0.5000 0.5000 0.5000 Pb
0.0000 0.5000 0.0000 V
0.0000 0.0000 0.5000 V
0.5000 0.0000 0.0000 V
0.0000 0.0000 0.0000 Se
```

Values from the calculation:
**Formation energy without anion corrections**: 0.548 eV/atom
**Symmetry**: No. 221
**E above lowest polymorph**: 0 meV per atom
**Electronic total energy**: -31.81 eV/cell

Below is crystalline VZnPb2Se at its relaxed geometry, with properties calculated at the GGA-PBE level.

```
VZnPb2Se
1.0
-3.6007 1.5024 -4.2141
-0.2196 -4.4474 -1.3979
-4.4657 -0.8803 3.5018
Pb Se Zn V
2 1 1 1
Direct
0.0000 0.0000 0.5000 Pb
0.5000 0.0000 0.0000 Pb
0.0000 0.0000 0.0000 Se
0.0000 0.5000 0.0000 Zn
0.5000 0.5000 0.5000 V
```

Values from the calculation:
**Formation energy without anion corrections**: 0.987 eV/atom
**Symmetry**: No. 123
**Electronic total energy**: -16.36 eV/cell

Below is crystalline PbW2Se at its relaxed geometry, with properties calculated at the GGA-PBE level.

```
PbW2Se
1.0
-2.6617 -0.7365 4.9892
-4.7841 -3.0991 -0.1660
5.6507 0.3474 -0.6845
W Pb Se
2 1 1
Direct
0.4650 0.4650 0.0000 W
0.0350 0.0350 0.0000 W
0.7500 0.2500 0.5000 Pb
0.2500 0.7500 0.5000 Se
```

Values from the calculation:
**Formation energy without anion corrections**: 0.960 eV/atom
**Symmetry**: No. 71
**E above lowest polymorph**: 615 meV per atom
**Electronic total energy**: -29.26 eV/cell

Below is crystalline PbWSe2 at its relaxed geometry, with properties calculated at the GGA-PBE level.

```
PbWSe2
1.0
-3.0709 -0.4924 0.4457
0.5876 -1.0323 2.9087
-0.8848 8.3687 3.1488
Pb W Se
1 1 2
Direct
0.5000 0.5000 0.7500 Pb
0.5000 0.5000 0.2500 W
0.0000 0.0000 0.4213 Se
0.0000 0.0000 0.0787 Se
```

Values from the calculation:
**Formation energy without anion corrections**: -0.021 eV/atom
**Symmetry**: No. 123
**Electronic total energy**: -23.71 eV/cell

Below is crystalline Pb3WSe at its relaxed geometry, with properties calculated at the GGA-PBE level.

```
Pb3WSe
1.0
5.4959 0.0000 0.0000
0.0000 5.4959 0.0000
0.0000 0.0000 5.4959
Pb Se W
3 1 1
Direct
0.0000 0.0000 0.5000 Pb
0.0000 0.5000 0.0000 Pb
0.5000 0.0000 0.0000 Pb
0.0000 0.0000 0.0000 Se
0.5000 0.5000 0.5000 W
```

Values from the calculation:
**Formation energy without anion corrections**: 1.607 eV/atom
**Symmetry**: No. 221
**E above lowest polymorph**: 972 meV per atom
**Electronic total energy**: -19.53 eV/cell

Below is crystalline PbWSe2 at its relaxed geometry, with properties calculated at the GGA-PBE level.

```
PbWSe2
1.0
3.2191 0.0000 0.0000
0.0000 3.2699 0.0345
0.0000 -0.1324 9.2269
Pb Se W
1 2 1
Direct
0.5000 0.7500 0.7500 Pb
0.0000 0.2462 0.0447 Se
0.0000 0.2538 0.4553 Se
0.5000 0.2500 0.2500 W
```

Values from the calculation:
**Formation energy without anion corrections**: 0.251 eV/atom
**Symmetry**: No. 10
**Electronic total energy**: -22.63 eV/cell

Below is crystalline PbWSe2 at its relaxed geometry, with properties calculated at the GGA-PBE level.

```
PbWSe2
1.0
3.6589 0.0000 0.0000
0.0000 5.8422 0.0000
0.0000 0.0000 4.2437
Pb Se W
1 2 1
Direct
0.0000 0.5000 0.5000 Pb
0.0000 0.0000 0.0000 Se
0.5000 0.5000 0.0000 Se
0.5000 0.0000 0.5000 W
```

Values from the calculation:
**Formation energy without anion corrections**: 0.856 eV/atom
**Symmetry**: No. 47
**Electronic total energy**: -20.21 eV/cell

Below is crystalline PbW3Se at its relaxed geometry, with properties calculated at the GGA-PBE level.

```
PbW3Se
1.0
-1.5661 -4.6708 1.0441
4.3487 -0.9298 2.3630
-1.9989 1.6365 4.3226
W Pb Se
3 1 1
Direct
0.0000 0.0000 0.5000 W
0.5000 0.0000 0.0000 W
0.0000 0.5000 0.0000 W
0.0000 0.0000 0.0000 Pb
0.5000 0.5000 0.5000 Se
```

Values from the calculation:
**Formation energy without anion corrections**: 3.307 eV/atom
**Symmetry**: No. 221
**E above lowest polymorph**: 1659 meV per atom
**Electronic total energy**: -29.52 eV/cell

Below is crystalline PbWSe2 at its relaxed geometry, with properties calculated at the GGA-PBE level.

```
PbWSe2
1.0
-0.4440 0.0233 3.4495
-3.1592 -1.3997 -0.3971
2.8717 -6.5992 0.4142
Pb Se W
1 2 1
Direct
0.5000 0.5000 0.7295 Pb
0.0000 0.0000 0.0581 Se
0.5000 0.5000 0.2898 Se
0.0000 0.0000 0.4227 W
```

Values from the calculation:
**Formation energy without anion corrections**: 0.350 eV/atom
**Symmetry**: No. 99
**Electronic total energy**: -22.23 eV/cell

Below is crystalline PbWSe at its relaxed geometry, with properties calculated at the GGA-PBE level.

```
PbWSe
1.0
8.4902 0.0154 -0.0103
7.6802 3.0064 -0.0118
0.8100 -1.1369 2.7665
W Pb Se
1 1 1
Direct
0.6815 0.6815 0.3185 W
0.0221 0.0221 0.9779 Pb
0.2964 0.2964 0.7036 Se
```

Values from the calculation:
**Formation energy without anion corrections**: 0.513 eV/atom
**Symmetry**: No. 42
**E above lowest polymorph**: 393 meV per atom
**Electronic total energy**: -18.61 eV/cell

Below is crystalline PbWSe2 at its relaxed geometry, with properties calculated at the GGA-PBE level.

```
PbWSe2
1.0
9.5035 0.0025 0.0015
8.9100 3.3060 0.0015
8.9100 1.6010 2.8926
W Pb Se
1 1 2
Direct
0.2500 0.2500 0.2500 W
0.7500 0.7500 0.7500 Pb
0.5223 0.5223 0.5223 Se
0.9777 0.9777 0.9777 Se
```

Values from the calculation:
**Formation energy without anion corrections**: -0.185 eV/atom
**Symmetry**: No. 166
**Electronic total energy**: -24.37 eV/cell

Below is crystalline PbW2Se at its relaxed geometry, with properties calculated at the GGA-PBE level.

```
PbW2Se
1.0
4.2052 0.0000 0.0000
0.0000 3.2504 0.0323
0.0000 -0.0739 7.1863
W Pb Se
2 1 1
Direct
0.0000 0.8751 0.0917 W
0.5000 0.3750 0.1189 W
0.0000 0.3752 0.4430 Pb
0.5000 0.8747 0.8464 Se
```

Values from the calculation:
**Formation energy without anion corrections**: 0.419 eV/atom
**Symmetry**: No. 25
**E above lowest polymorph**: 74 meV per atom
**Electronic total energy**: -31.43 eV/cell

Below is crystalline PbW2Se at its relaxed geometry, with properties calculated at the GGA-PBE level.

```
PbW2Se
1.0
-3.7420 -2.2987 -1.9788
-3.9464 -2.4688 1.2382
-4.4069 3.9307 -0.0723
Pb W Se
1 2 1
Direct
0.7500 0.7500 0.7500 Pb
0.5077 0.5077 0.4115 W
0.9923 0.9923 0.0885 W
0.2500 0.2500 0.2500 Se
```

Values from the calculation:
**Formation energy without anion corrections**: 0.803 eV/atom
**Symmetry**: No. 12
**E above lowest polymorph**: 459 meV per atom
**Electronic total energy**: -29.89 eV/cell

Below is crystalline PbWSe2 at its relaxed geometry, with properties calculated at the GGA-PBE level.

```
PbWSe2
1.0
5.5431 -0.0018 0.0000
2.2276 5.0758 0.0000
-3.8854 -2.5370 3.0321
W Pb Se
1 1 2
Direct
0.5000 0.5000 0.0000 W
0.7500 0.2500 0.5000 Pb
0.0000 0.0000 0.0000 Se
0.2500 0.7500 0.5000 Se
```

Values from the calculation:
**Formation energy without anion corrections**: 0.894 eV/atom
**Symmetry**: No. 119
**Electronic total energy**: -20.05 eV/cell

Below is crystalline PbWSe at its relaxed geometry, with properties calculated at the GGA-PBE level.

```
PbWSe
1.0
4.6549 0.0000 0.0000
2.3274 4.0312 0.0000
2.3274 1.3437 3.8007
W Pb Se
1 1 1
Direct
0.7500 0.7500 0.7500 W
0.0000 0.0000 0.0000 Pb
0.5000 0.5000 0.5000 Se
```

Values from the calculation:
**Formation energy without anion corrections**: 0.942 eV/atom
**Symmetry**: No. 216
**E above lowest polymorph**: 821 meV per atom
**Electronic total energy**: -17.32 eV/cell

Below is crystalline PbWSe at its relaxed geometry, with properties calculated at the GGA-PBE level.

```
PbWSe
1.0
3.2214 0.0000 0.0000
-1.6107 2.7898 0.0000
0.0000 0.0000 8.2873
W Pb Se
1 1 1
Direct
0.3333 0.6667 0.6340 W
0.0000 0.0000 0.9365 Pb
0.6667 0.3333 0.4295 Se
```

Values from the calculation:
**Formation energy without anion corrections**: 0.121 eV/atom
**Symmetry**: No. 156
**E above lowest polymorph**: 0 meV per atom
**Electronic total energy**: -19.78 eV/cell

Below is crystalline PbW2Se at its relaxed geometry, with properties calculated at the GGA-PBE level.

```
PbW2Se
1.0
-2.0642 1.6789 -1.4789
-2.2197 -4.3188 -1.8045
-2.8907 -0.1357 3.8807
Pb W Se
1 2 1
Direct
0.5000 0.0000 0.5000 Pb
0.5000 0.5000 0.0000 W
0.0000 0.0000 0.0000 W
0.0000 0.5000 0.5000 Se
```

Values from the calculation:
**Formation energy without anion corrections**: 1.103 eV/atom
**Symmetry**: No. 47
**E above lowest polymorph**: 759 meV per atom
**Electronic total energy**: -28.69 eV/cell